Density functional theory data (GGA-PBE) for crystalline ScZn4Ag8 at its relaxed geometry.

Lattice parameters (Å, degrees): 9.2903 9.2903 5.2664 90.00 90.00 90.00
Space group I4/mmm (No. 139)
Symmetry-distinct sites (fractional):
Sc (0.0000, 0.0000, 0.0000)
Zn (0.2500, 0.2500, 0.2500)
Ag (0.0000, 0.2133, 0.5000)
Ag (0.0000, 0.3437, 0.0000)

Properties
For the electronic total energy, the calculation gives -2.711 eV/atom.